DFT (PBEsol) results for crystalline TaMnP at its relaxed geometry.

Cell: 6.010 3.638 6.914 Å, 90.00 90.00 90.00°
Space group Pnma (No. 62)
Symmetry-distinct sites (fractional):
Ta (0.021, 0.250, 0.179)
Mn (0.152, 0.250, 0.560)
P (0.218, 0.750, 0.379)

Properties
- spin magnetization (μB/cell) = 0.00
- energy of formation (kJ/mol of atoms) = -82.0